1.
A relaxed structure of PrCd2PdAu2, computed with PBE.

## Properties
As for the formation energy: 10 meV per atom.

Cell lengths 5.3622, 5.3622, 11.2330 Å; angles 90.00, 90.00, 90.00 degrees
Closest atoms and distances in Å follow each position.
Space group I4/mmm (No. 139)
One atom of each set of equivalent atoms:
Pr  0.0000  0.0000  0.0000 [2 per cell]  2 Au 2.97
Cd  0.0000  0.5000  0.2500 [4 per cell]  4 Au 2.69
Pd  0.0000  0.0000  0.5000 [2 per cell]  2 Au 2.64
Au  0.0000  0.0000  0.2647 [4 per cell]  1 Pd 2.64, 4 Cd 2.69

***

2.
A relaxed structure of CdPd4Pt2Au, computed with PBE.

## Properties
As for the formation energy: -116 meV per atom.

Cell lengths 6.7591, 6.7591, 5.7107 Å; angles 90.00, 90.00, 90.00 degrees
Closest atoms and distances in Å follow each position.
Space group I4/mmm (No. 139)
One atom of each set of equivalent atoms:
Cd  0.0000  0.0000  0.0000 [2 per cell]  8 Pd 2.78, 2 Au 2.86
Pd  0.2500  0.2500  0.2500 [8 per cell]  2 Cd 2.78, 4 Pt 2.78, 2 Au 2.78, 2 Pd 2.86
Pt  0.0000  0.5000  0.0000 [4 per cell]  8 Pd 2.78, 2 Pt 2.86
Au  0.0000  0.0000  0.5000 [2 per cell]  8 Pd 2.78, 2 Cd 2.86

***

3.
A relaxed structure of CdPdPtAu, computed with PBE.

## Properties
As for the formation energy: -231 meV per atom.

Cell lengths 3.8274, 4.1787, 4.2732 Å; angles 90.00, 90.00, 90.00 degrees
Closest atoms and distances in Å follow each position.
Space group Pmmm (No. 47)
One atom of each set of equivalent atoms:
Cd  0.0000  0.0000  0.0000 [1 per cell]  4 Pd 2.83, 4 Pt 2.87, 4 Au 2.99
Pd  0.5000  0.5000  0.0000 [1 per cell]  4 Cd 2.83, 4 Au 2.87, 4 Pt 2.99
Pt  0.5000  0.0000  0.5000 [1 per cell]  4 Au 2.83, 4 Cd 2.87, 4 Pd 2.99
Au  0.0000  0.5000  0.5000 [1 per cell]  4 Pt 2.83, 4 Pd 2.87, 4 Cd 2.99

***

4.
A relaxed structure of Cd5Pd2PtAu2, computed with PBE.

## Properties
As for the formation energy: -195 meV per atom.

Cell lengths 10.1568, 10.1568, 3.8008 Å; angles 90.00, 90.00, 90.00 degrees
Closest atoms and distances in Å follow each position.
Space group P4/mbm (No. 127)
One atom of each set of equivalent atoms:
Cd  0.0000  0.5000  0.0000 [2 per cell]  4 Pd 2.74, 4 Au 2.91
Cd  0.1234  0.1647  0.0000 [8 per cell]  2 Pd 2.77, 2 Pt 2.82, 3 Cd 2.96-3.04, 2 Au 2.96
Pd  0.1376  0.3624  0.5000 [4 per cell]  6 Cd 2.74-2.77, 3 Au 2.96-3.00
Pt  0.0000  0.0000  0.5000 [2 per cell]  8 Cd 2.82
Au  0.1537  0.6537  0.5000 [4 per cell]  6 Cd 2.91-2.96, 3 Pd 2.96-3.00

***

5.
A relaxed structure of Cd2PdPtAu2, computed with PBE.

## Properties
As for the formation energy: -227 meV per atom.

Cell lengths 4.2014, 8.7000, 5.8404 Å; angles 90.00, 90.00, 90.00 degrees
Closest atoms and distances in Å follow each position.
Space group Pmc2_1 (No. 26)
One atom of each set of equivalent atoms:
Cd  0.0000  0.1482  0.0000 [2 per cell]  3 Pd 2.77-2.97, 4 Pt 2.86-2.87, 3 Au 2.95-2.99, 2 Cd 3.08
Cd  0.5000  0.3282  0.7216 [2 per cell]  1 Pt 2.84, 2 Pd 2.84, 7 Au 2.85-2.99, 2 Cd 3.08
Pd  0.0000  0.1704  0.4928 [2 per cell]  5 Cd 2.77-2.97, 3 Au 2.93-2.94, 4 Pt 2.95-2.96
Pt  0.5000  0.0026  0.7488 [2 per cell]  5 Cd 2.84-2.87, 1 Au 2.88, 2 Pt 2.92, 4 Pd 2.95-2.96
Au  0.0000  0.4920  0.9768 [2 per cell]  6 Au 2.92-2.98, 1 Pd 2.94, 5 Cd 2.94-2.99
Au  0.5000  0.3280  0.2337 [2 per cell]  5 Cd 2.85-2.99, 1 Pt 2.88, 2 Pd 2.93, 4 Au 2.95-2.98

***

6.
A relaxed structure of CdRe2PdAu, computed with PBE.

## Properties
As for the formation energy: 2163 meV per atom.

Cell lengths 4.9451, 4.9451, 4.9972 Å; angles 90.00, 90.00, 90.00 degrees
Closest atoms and distances in Å follow each position.
Space group P4/mmm (No. 123)
One atom of each set of equivalent atoms:
Cd  0.0000  0.0000  0.0000 [1 per cell]  4 Pd 3.50, 8 Re 3.52
Re  0.0000  0.5000  0.5000 [2 per cell]  2 Au 2.47
Pd  0.5000  0.5000  0.0000 [1 per cell]  2 Au 2.50
Au  0.5000  0.5000  0.5000 [1 per cell]  4 Re 2.47, 2 Pd 2.50

***

7.
A relaxed structure of Cd2Sb2Pd7Au, computed with PBE.

## Properties
As for the total energy: -51.2 eV/f.u.

Cell lengths 5.3991, 5.3993, 16.0308 Å; angles 90.00, 99.62, 90.00 degrees
Closest atoms and distances in Å follow each position.
Space group C2/m (No. 12)
One atom of each set of equivalent atoms:
Cd  0.1330  0.0000  0.2650 [4 per cell]  5 Pd 2.79-2.88
Sb  0.1935  0.5000  0.3843 [4 per cell]  5 Pd 2.66-2.88
Pd  0.0000  0.0000  0.0000 [2 per cell]  4 Au 2.70, 8 Pd 2.87
Pd  0.1820  0.2499  0.8642 [8 per cell]  6 Pd 2.70-2.87, 2 Cd 2.79-2.80, 2 Au 2.87
Pd  0.2245  0.0000  0.4475 [4 per cell]  5 Sb 2.66-2.88, 1 Cd 2.88
Au  0.0000  0.5000  0.0000 [2 per cell]  12 Pd 2.70-2.87

***

8.
A relaxed structure of Cd2SbPd5Au, computed with PBE.

## Properties
As for the total energy: -35.7 eV/f.u.

Cell lengths 6.7926, 6.7926, 14.8616 Å; angles 90.00, 90.00, 90.00 degrees
Closest atoms and distances in Å follow each position.
Space group I4/mcm (No. 140)
One atom of each set of equivalent atoms:
Cd  0.1357  0.3643  0.0000 [8 per cell]  1 Cd 2.61, 4 Pd 2.61-2.64
Sb  0.0000  0.0000  0.2500 [4 per cell]  8 Pd 2.80
Pd  0.0000  0.0000  0.0000 [4 per cell]  4 Cd 2.64
Pd  0.2334  0.2666  0.3459 [16 per cell]  1 Cd 2.61, 1 Au 2.66, 2 Sb 2.80, 1 Pd 2.87
Au  0.0000  0.5000  0.2500 [4 per cell]  8 Pd 2.66-2.93

***

9.
A relaxed structure of Sc5Cd2Pd2Au, computed with PBE.

## Properties
As for the formation energy: -568 meV per atom.

Cell lengths 11.1431, 11.1431, 3.4347 Å; angles 90.00, 90.00, 90.00 degrees
Closest atoms and distances in Å follow each position.
Space group P4/mbm (No. 127)
One atom of each set of equivalent atoms:
Sc  0.0000  0.5000  0.0000 [2 per cell]  4 Pd 2.71
Sc  0.0798  0.1928  0.0000 [8 per cell]  2 Pd 2.66, 2 Au 2.89
Cd  0.1685  0.6685  0.5000 [4 per cell]  3 Pd 3.13-3.38, 6 Sc 3.16-3.30, 2 Cd 3.43
Pd  0.1329  0.3671  0.5000 [4 per cell]  6 Sc 2.66-2.71
Au  0.0000  0.0000  0.5000 [2 per cell]  8 Sc 2.89

***

10.
A relaxed structure of SmCdPdAu, computed with PBE.

## Properties
As for the formation energy: -649 meV per atom.

Cell lengths 6.9815, 6.9815, 6.9815 Å; angles 90.00, 90.00, 90.00 degrees
Closest atoms and distances in Å follow each position.
Space group F-43m (No. 216)
One atom of each set of equivalent atoms:
Sm  0.0000  0.0000  0.0000 [4 per cell]  4 Pd 3.02, 4 Au 3.02
Cd  0.0000  0.0000  0.5000 [4 per cell]  4 Pd 3.02, 4 Au 3.02
Pd  0.2500  0.2500  0.2500 [4 per cell]  4 Cd 3.02, 4 Sm 3.02
Au  0.2500  0.2500  0.7500 [4 per cell]  4 Cd 3.02, 4 Sm 3.02

***

11.
A relaxed structure of Cd4SnPd2Au, computed with PBE.

## Properties
As for the formation energy: -122 meV per atom.

Cell lengths 4.1211, 4.1211, 10.3756 Å; angles 90.00, 90.00, 90.00 degrees
Closest atoms and distances in Å follow each position.
Space group P4/mmm (No. 123)
One atom of each set of equivalent atoms:
Cd  0.0000  0.5000  0.1929 [4 per cell]  2 Pd 2.79, 2 Au 2.87, 4 Cd 2.91
Sn  0.0000  0.0000  0.5000 [1 per cell]  8 Pd 3.20
Pd  0.5000  0.5000  0.3735 [2 per cell]  1 Pd 2.63, 4 Cd 2.79
Au  0.0000  0.0000  0.0000 [1 per cell]  8 Cd 2.87

***

12.
A relaxed structure of Cd2Sn2Pd7Au, computed with PBE.

## Properties
As for the formation energy: -136 meV per atom.

Cell lengths 5.4103, 5.4107, 15.9209 Å; angles 90.00, 99.53, 90.00 degrees
Closest atoms and distances in Å follow each position.
Space group C2/m (No. 12)
One atom of each set of equivalent atoms:
Cd  0.1292  0.0000  0.2652 [4 per cell]  5 Pd 2.79-2.84
Sn  0.1923  0.5000  0.3831 [4 per cell]  5 Pd 2.68-2.88
Pd  0.0000  0.0000  0.0000 [2 per cell]  4 Au 2.71, 8 Pd 2.86
Pd  0.1840  0.2500  0.8642 [8 per cell]  6 Pd 2.71-2.86, 2 Cd 2.79, 2 Au 2.86
Pd  0.2236  0.0000  0.4461 [4 per cell]  5 Sn 2.68-2.88, 1 Cd 2.84
Au  0.0000  0.5000  0.0000 [2 per cell]  12 Pd 2.71-2.86

***

13.
A relaxed structure of CdSnPdAu, computed with PBE.

## Properties
As for the formation energy: -247 meV per atom.

Cell lengths 6.7575, 6.7575, 6.7575 Å; angles 90.00, 90.00, 90.00 degrees
Closest atoms and distances in Å follow each position.
Space group F-43m (No. 216)
One atom of each set of equivalent atoms:
Cd  0.0000  0.0000  0.0000 [4 per cell]  4 Pd 2.93, 4 Au 2.93
Sn  0.0000  0.0000  0.5000 [4 per cell]  4 Pd 2.93, 4 Au 2.93
Pd  0.2500  0.2500  0.7500 [4 per cell]  4 Cd 2.93, 4 Sn 2.93
Au  0.2500  0.2500  0.2500 [4 per cell]  4 Cd 2.93, 4 Sn 2.93

***

14.
A relaxed structure of Sr2CdPd2Au5, computed with PBE.

## Properties
As for the formation energy: -506 meV per atom.

Cell lengths 10.1526, 10.1526, 4.1774 Å; angles 90.00, 90.00, 90.00 degrees
Closest atoms and distances in Å follow each position.
Space group P4/mbm (No. 127)
One atom of each set of equivalent atoms:
Sr  0.1744  0.3256  0.0000 [4 per cell]  3 Pd 2.88-3.08
Cd  0.0000  0.0000  0.0000 [2 per cell]  8 Au 2.99
Pd  0.1249  0.6249  0.0000 [4 per cell]  6 Au 2.75-2.81, 3 Sr 2.88-3.08
Au  0.0000  0.5000  0.5000 [2 per cell]  4 Pd 2.75
Au  0.0598  0.7984  0.5000 [8 per cell]  2 Pd 2.81, 2 Cd 2.99, 3 Au 3.02-3.09

***

15.
A relaxed structure of Sr2Cd4PdAu3, computed with PBE.

## Properties
As for the formation energy: -451 meV per atom.

Cell lengths 4.6583, 4.6583, 11.6059 Å; angles 90.00, 90.00, 90.00 degrees
Closest atoms and distances in Å follow each position.
Space group P-4m2 (No. 115)
One atom of each set of equivalent atoms:
Sr  0.0000  0.5000  0.2352 [2 per cell]  8 Cd 3.53-3.86, 2 Pd 3.59, 6 Au 3.59
Cd  0.0000  0.0000  0.5000 [1 per cell]  4 Au 2.85
Cd  0.0000  0.5000  0.8754 [2 per cell]  3 Au 2.71-2.74, 2 Pd 2.74
Cd  0.5000  0.5000  0.5000 [1 per cell]  4 Au 2.85
Pd  0.5000  0.5000  0.0000 [1 per cell]  4 Cd 2.74
Au  0.0000  0.0000  0.0000 [1 per cell]  4 Cd 2.74
Au  0.0000  0.5000  0.6417 [2 per cell]  5 Cd 2.71-2.85

***

16.
A relaxed structure of Sr2CdPdAu6, computed with PBE.

## Properties
As for the formation energy: -193 meV per atom.

Cell lengths 10.3566, 10.3566, 10.3566 Å; angles 90.00, 90.00, 90.00 degrees
Closest atoms and distances in Å follow each position.
Space group Fm-3m (No. 225)
One atom of each set of equivalent atoms:
Sr  0.2500  0.2500  0.2500 [8 per cell]  12 Au 3.66
Cd  0.0000  0.0000  0.0000 [4 per cell]  6 Au 2.62
Pd  0.0000  0.0000  0.5000 [4 per cell]  6 Au 2.56
Au  0.0000  0.0000  0.2531 [24 per cell]  1 Pd 2.56, 1 Cd 2.62

***

17.
A relaxed structure of Sr2Cd3PdAu12, computed with PBE.

## Properties
As for the formation energy: -74 meV per atom.

Cell lengths 9.0691, 9.0691, 20.8722 Å; angles 90.00, 90.00, 120.00 degrees
Closest atoms and distances in Å follow each position.
Space group R-3m (No. 166, hexagonal axes)
One atom of each set of equivalent atoms:
Sr  0.0000  0.0000  0.1159 [6 per cell]  9 Au 3.17-3.55
Cd  0.0000  0.5000  0.0000 [9 per cell]  6 Au 2.82-2.86
Pd  0.0000  0.0000  0.5000 [3 per cell]  6 Au 2.62
Au  0.0091  0.5046  0.1369 [18 per cell]  1 Pd 2.62, 4 Au 2.73-2.83, 1 Cd 2.86
Au  0.0871  0.5436  0.4081 [18 per cell]  2 Au 2.73, 2 Cd 2.82

***

18.
A relaxed structure of TaCdPdAu, computed with PBE.

## Properties
As for the formation energy: -232 meV per atom.

Cell lengths 2.9526, 2.9526, 8.1242 Å; angles 90.00, 90.00, 90.00 degrees
Closest atoms and distances in Å follow each position.
Space group P4mm (No. 99)
One atom of each set of equivalent atoms:
Ta  0.0000  0.0000  0.0000 [1 per cell]  4 Pd 2.81, 4 Au 2.89, 4 Ta 2.95
Cd  0.0000  0.0000  0.5167 [1 per cell]  4 Pd 2.93, 4 Cd 2.95, 4 Au 3.03
Pd  0.5000  0.5000  0.7691 [1 per cell]  4 Ta 2.81, 4 Cd 2.93, 4 Pd 2.95
Au  0.5000  0.5000  0.2460 [1 per cell]  4 Ta 2.89, 4 Au 2.95, 4 Cd 3.03

***

19.
A relaxed structure of Ta2CdPdAu, computed with PBE.

## Properties
As for the formation energy: 1167 meV per atom.

Cell lengths 4.8205, 4.8205, 5.0048 Å; angles 90.00, 90.00, 90.00 degrees
Closest atoms and distances in Å follow each position.
Space group P4/mmm (No. 123)
One atom of each set of equivalent atoms:
Ta  0.0000  0.5000  0.0000 [2 per cell]  2 Pd 2.41
Cd  0.0000  0.0000  0.5000 [1 per cell]  4 Au 3.41, 8 Ta 3.47
Pd  0.5000  0.5000  0.0000 [1 per cell]  4 Ta 2.41, 2 Au 2.50
Au  0.5000  0.5000  0.5000 [1 per cell]  2 Pd 2.50

***

20.
A relaxed structure of TbCdPdAu, computed with PBE.

## Properties
As for the formation energy: -679 meV per atom.

Cell lengths 6.9050, 6.9050, 6.9050 Å; angles 90.00, 90.00, 90.00 degrees
Closest atoms and distances in Å follow each position.
Space group F-43m (No. 216)
One atom of each set of equivalent atoms:
Tb  0.0000  0.0000  0.0000 [4 per cell]  4 Pd 2.99, 4 Au 2.99
Cd  0.0000  0.0000  0.5000 [4 per cell]  4 Pd 2.99, 4 Au 2.99
Pd  0.2500  0.2500  0.7500 [4 per cell]  4 Cd 2.99, 4 Tb 2.99
Au  0.2500  0.2500  0.2500 [4 per cell]  4 Cd 2.99, 4 Tb 2.99

***

Looking at M_tot for the records above, in order, we have 0.00 0.00 0.00 0.00 0.00 5.81 0.00 0.00 0.00 0.00 0.00 0.00 0.00 0.00 0.00 0.00 0.00 0.00 0.00 0.00 Bohr magnetons per cell.